DFT (GGA+U) results for an optimized crystal structure of SrVTcF2.

Calculated values
Final energy = -25.12 eV per cell
Crystal system = tetragonal

Unit cell a=4.1013 b=4.1013 c=7.9054 alpha=90.00 beta=90.00 gamma=90.00
Space group P4/mmm (No. 123)
Inequivalent atoms, fractional coordinates:
Sr  0.0000  0.0000  0.0000 (multiplicity 1)
V  0.0000  0.0000  0.5000 (multiplicity 1)
Tc  0.5000  0.5000  0.0000 (multiplicity 1)
F  0.0000  0.5000  0.5000 (multiplicity 2)